[1]
# PBE-GGA Al2AsS, relaxed
# E above lowest polymorph = 0.000 eV/atom
# M_tot = 0.0 μB per formula unit
# V = 358.2 Å³ per cell
# calculated total energy = -70.97 eV for the cell shown
# uncorrected formation energy = -0.3699 eV/atom
data_Al2AsS
_symmetry_space_group_name_H-M 'I -4 2 d'
_symmetry_Int_Tables_number 122
_symmetry_space_group_name_Hall 'I -4 2bw'
_cell_length_a 5.558
_cell_length_b 5.558
_cell_length_c 11.597
_cell_angle_alpha 90.00
_cell_angle_beta 90.00
_cell_angle_gamma 90.00
loop_
_atom_site_label
_atom_site_type_symbol
_atom_site_fract_x
_atom_site_fract_y
_atom_site_fract_z
Al1 Al 0.242 0.250 0.125
As1 As 0.000 0.000 0.500
S1 S 0.000 0.000 0.000

---

[2]
# PBE-GGA Pm12CdRh6, relaxed
# E above lowest polymorph = 0.044 eV/atom
# M_tot = 0.0 μB per formula unit
# V = 1620.4 Å³ per cell
# calculated total energy = -332.27 eV for the cell shown
# energy relative to the elements = -0.46 eV/atom
data_Pm12CdRh6
_symmetry_space_group_name_H-M 'R -3'
_symmetry_Int_Tables_number 148
_symmetry_space_group_name_Hall '-R 3'
_cell_length_a 14.3276
_cell_length_b 14.3276
_cell_length_c 9.1145
_cell_angle_alpha 90.00
_cell_angle_beta 90.00
_cell_angle_gamma 120.00
loop_
_atom_site_label
_atom_site_type_symbol
_atom_site_fract_x
_atom_site_fract_y
_atom_site_fract_z
Pm1 Pm 0.0383 0.7812 0.4257
Pm2 Pm 0.0620 0.8795 0.8344
Cd1 Cd 0.0000 0.0000 0.5000
Rh1 Rh 0.0750 0.5738 0.7914

---

[3]
# PBE-GGA CsFeBr3, relaxed
# M_tot = 4.0 μB per formula unit
# V = 766.6 Å³ per cell
# calculated total energy = -77.91 eV for the cell shown
# uncorrected formation energy = -1.0285 eV/atom
data_CsFeBr3
_symmetry_space_group_name_H-M 'C 1 2/m 1'
_symmetry_Int_Tables_number 12
_cell_length_a 12.810
_cell_length_b 9.755
_cell_length_c 6.147
_cell_angle_alpha 90.00
_cell_angle_beta 93.66
_cell_angle_gamma 90.00
loop_
_symmetry_equiv_pos_as_xyz
'x,y,z'
'-x,-y,-z'
'-x,y,-z'
'x,-y,z'
'x+1/2,y+1/2,z'
'-x+1/2,-y+1/2,-z'
'-x+1/2,y+1/2,-z'
'x+1/2,-y+1/2,z'
loop_
_atom_site_label
_atom_site_type_symbol
_atom_site_fract_x
_atom_site_fract_y
_atom_site_fract_z
Cs1 Cs 0.173 0.000 0.246
Fe1 Fe 0.000 0.359 0.500
Br1 Br 0.109 0.500 0.277
Br2 Br 0.114 0.216 0.733

---

[4]
# PBE-GGA HfMoAs2, relaxed
# E above lowest polymorph = 0.125 eV/atom
# M_tot = 1.5 μB per formula unit
# V = 224.4 Å³ per cell
# calculated total energy = -93.70 eV for the cell shown
# energy relative to the elements = -0.29 eV/atom
data_HfMoAs2
_symmetry_space_group_name_H-M 'R -3 m'
_symmetry_Int_Tables_number 166
_symmetry_space_group_name_Hall '-R 3 2"'
_cell_length_a 3.8907
_cell_length_b 3.8907
_cell_length_c 17.1178
_cell_angle_alpha 90.00
_cell_angle_beta 90.00
_cell_angle_gamma 120.00
loop_
_atom_site_label
_atom_site_type_symbol
_atom_site_fract_x
_atom_site_fract_y
_atom_site_fract_z
Hf1 Hf 0.0000 0.0000 0.0000
Mo1 Mo 0.0000 0.0000 0.5000
As1 As 0.0000 0.0000 0.2446

---

[5]
# PBE-GGA TaCu2Cl, relaxed
# E above lowest polymorph = 0.230 eV/atom
# M_tot = 0.0 μB per formula unit
# V = 121.9 Å³ per cell
# calculated total energy = -41.79 eV for the cell shown
# uncorrected formation energy = 0.2494 eV/atom
data_TaCu2Cl
_symmetry_space_group_name_H-M 'C 1 m 1'
_symmetry_Int_Tables_number 8
_cell_length_a 8.560
_cell_length_b 2.892
_cell_length_c 5.053
_cell_angle_alpha 90.00
_cell_angle_beta 103.06
_cell_angle_gamma 90.00
loop_
_symmetry_equiv_pos_as_xyz
'x,y,z'
'x,-y,z'
'x+1/2,y+1/2,z'
'x+1/2,-y+1/2,z'
loop_
_atom_site_label
_atom_site_type_symbol
_atom_site_fract_x
_atom_site_fract_y
_atom_site_fract_z
Ta1 Ta 0.000 0.000 0.000
Cu1 Cu 0.255 0.500 0.319
Cu2 Cu 0.497 0.000 0.476
Cl1 Cl 0.253 0.000 0.821

---

[6]
# PBE-GGA HfMg2NbC, relaxed
# M_tot = 0.0 μB per formula unit
# V = 110.9 Å³ per cell
# calculated total energy = -25.64 eV for the cell shown
# energy relative to the elements = 1.36 eV/atom
data_HfMg2NbC
_symmetry_space_group_name_H-M 'P 4/m m m'
_symmetry_Int_Tables_number 123
_symmetry_space_group_name_Hall '-P 4 2'
_cell_length_a 5.261
_cell_length_b 5.261
_cell_length_c 4.007
_cell_angle_alpha 90.00
_cell_angle_beta 90.00
_cell_angle_gamma 90.00
loop_
_atom_site_label
_atom_site_type_symbol
_atom_site_fract_x
_atom_site_fract_y
_atom_site_fract_z
Hf1 Hf 0.000 0.000 0.000
Mg1 Mg 0.000 0.500 0.500
Nb1 Nb 0.500 0.500 0.500
C1 C 0.500 0.500 0.000

---

[7]
# PBE-GGA Sm2DyAg3Se6, relaxed
# M_tot = 0.0 μB per formula unit
# V = 598.9 Å³ per cell
# calculated total energy = -114.90 eV for the cell shown
# uncorrected formation energy = -1.1624 eV/atom
data_Sm2DyAg3Se6
_symmetry_space_group_name_H-M 'C 1 2/m 1'
_symmetry_Int_Tables_number 12
_cell_length_a 17.664
_cell_length_b 4.238
_cell_length_c 8.103
_cell_angle_alpha 90.00
_cell_angle_beta 99.16
_cell_angle_gamma 90.00
loop_
_symmetry_equiv_pos_as_xyz
'x,y,z'
'-x,-y,-z'
'-x,y,-z'
'x,-y,z'
'x+1/2,y+1/2,z'
'-x+1/2,-y+1/2,-z'
'-x+1/2,y+1/2,-z'
'x+1/2,-y+1/2,z'
loop_
_atom_site_label
_atom_site_type_symbol
_atom_site_fract_x
_atom_site_fract_y
_atom_site_fract_z
Sm1 Sm 0.167 0.000 0.326
Dy1 Dy 0.000 0.500 0.000
Ag1 Ag 0.000 0.500 0.500
Ag2 Ag 0.172 0.000 0.817
Se1 Se 0.001 0.000 0.757
Se2 Se 0.165 0.500 0.075
Se3 Se 0.165 0.500 0.578

---

[8]
# PBE-GGA Y5Ho2Th5, relaxed
# M_tot = 0.0 μB per formula unit
# V = 772.2 Å³ per cell
# calculated total energy = -155.96 eV for the cell shown
# energy relative to the elements = 0.05 eV/atom
data_Y5Ho2Th5
_symmetry_space_group_name_H-M 'C 1 2/m 1'
_symmetry_Int_Tables_number 12
_cell_length_a 15.078
_cell_length_b 5.053
_cell_length_c 11.311
_cell_angle_alpha 90.00
_cell_angle_beta 116.35
_cell_angle_gamma 90.00
loop_
_symmetry_equiv_pos_as_xyz
'x,y,z'
'-x,-y,-z'
'-x,y,-z'
'x,-y,z'
'x+1/2,y+1/2,z'
'-x+1/2,-y+1/2,-z'
'-x+1/2,y+1/2,-z'
'x+1/2,-y+1/2,z'
loop_
_atom_site_label
_atom_site_type_symbol
_atom_site_fract_x
_atom_site_fract_y
_atom_site_fract_z
Y1 Y 0.000 0.000 0.000
Y2 Y 0.084 0.000 0.748
Y3 Y 0.168 0.000 0.504
Ho1 Ho 0.084 0.500 0.250
Th1 Th 0.000 0.500 0.500
Th2 Th 0.170 0.500 0.003
Th3 Th 0.250 0.000 0.245

---

[9]
# PBE-GGA Er8ScAl2, relaxed
# M_tot = 0.0 μB per formula unit
# V = 627.2 Å³ per cell
# calculated total energy = -100.52 eV for the cell shown
# energy relative to the elements = 0.01 eV/atom
data_Er8ScAl2
_symmetry_space_group_name_H-M 'C 1 2/m 1'
_symmetry_Int_Tables_number 12
_cell_length_a 8.685
_cell_length_b 14.471
_cell_length_c 5.432
_cell_angle_alpha 90.00
_cell_angle_beta 113.26
_cell_angle_gamma 90.00
loop_
_symmetry_equiv_pos_as_xyz
'x,y,z'
'-x,-y,-z'
'-x,y,-z'
'x,-y,z'
'x+1/2,y+1/2,z'
'-x+1/2,-y+1/2,-z'
'-x+1/2,y+1/2,-z'
'x+1/2,-y+1/2,z'
loop_
_atom_site_label
_atom_site_type_symbol
_atom_site_fract_x
_atom_site_fract_y
_atom_site_fract_z
Er1 Er 0.000 0.218 0.000
Er2 Er 0.107 0.500 0.798
Er3 Er 0.207 0.118 0.613
Sc1 Sc 0.000 0.000 0.000
Al1 Al 0.000 0.307 0.500

---

[10]
# PBE-GGA PmTl2Hg2Se4, relaxed
# M_tot = 0.0 μB per formula unit
# V = 531.8 Å³ per cell
# calculated total energy = -59.66 eV for the cell shown
# uncorrected formation energy = -0.6448 eV/atom
data_PmTl2Hg2Se4
_symmetry_space_group_name_H-M 'C 1 2/m 1'
_symmetry_Int_Tables_number 12
_cell_length_a 16.444
_cell_length_b 4.264
_cell_length_c 8.352
_cell_angle_alpha 90.00
_cell_angle_beta 114.77
_cell_angle_gamma 90.00
loop_
_symmetry_equiv_pos_as_xyz
'x,y,z'
'-x,-y,-z'
'-x,y,-z'
'x,-y,z'
'x+1/2,y+1/2,z'
'-x+1/2,-y+1/2,-z'
'-x+1/2,y+1/2,-z'
'x+1/2,-y+1/2,z'
loop_
_atom_site_label
_atom_site_type_symbol
_atom_site_fract_x
_atom_site_fract_y
_atom_site_fract_z
Pm1 Pm 0.000 0.000 0.000
Tl1 Tl 0.122 0.000 0.551
Hg1 Hg 0.193 0.500 0.031
Se1 Se 0.021 0.500 0.772
Se2 Se 0.195 0.000 0.248

---

[11]
# PBE-GGA CuReSiNi2, relaxed
# M_tot = 0.6 μB per formula unit
# V = 76.1 Å³ per cell
# calculated total energy = -29.33 eV for the cell shown
# uncorrected formation energy = 0.8398 eV/atom
data_CuReSiNi2
_symmetry_space_group_name_H-M 'P 4/m m m'
_symmetry_Int_Tables_number 123
_symmetry_space_group_name_Hall '-P 4 2'
_cell_length_a 4.125
_cell_length_b 4.125
_cell_length_c 4.471
_cell_angle_alpha 90.00
_cell_angle_beta 90.00
_cell_angle_gamma 90.00
loop_
_atom_site_label
_atom_site_type_symbol
_atom_site_fract_x
_atom_site_fract_y
_atom_site_fract_z
Cu1 Cu 0.000 0.000 0.000
Re1 Re 0.500 0.500 0.000
Si1 Si 0.500 0.500 0.500
Ni1 Ni 0.000 0.500 0.500

---

[12]
# PBE-GGA CaMnIr2, relaxed
# E above lowest polymorph = 0.240 eV/atom
# M_tot = 3.4 μB per formula unit
# V = 69.9 Å³ per cell
# calculated total energy = -28.43 eV for the cell shown
# energy relative to the elements = 0.12 eV/atom
data_CaMnIr2
_symmetry_space_group_name_H-M 'P m m 2'
_symmetry_Int_Tables_number 25
_cell_length_a 2.842
_cell_length_b 3.965
_cell_length_c 6.198
_cell_angle_alpha 90.00
_cell_angle_beta 90.00
_cell_angle_gamma 90.00
loop_
_symmetry_equiv_pos_as_xyz
'x,y,z'
'-x,-y,z'
'-x,y,z'
'x,-y,z'
loop_
_atom_site_label
_atom_site_type_symbol
_atom_site_fract_x
_atom_site_fract_y
_atom_site_fract_z
Ca1 Ca 0.000 0.000 0.000
Mn1 Mn 0.500 0.500 0.665
Ir1 Ir 0.000 0.000 0.504
Ir2 Ir 0.500 0.500 0.272